a) Here is crystalline Tl2BiS at its relaxed geometry from Alexandria via LeMat-Bulk. Energies are from PBE.

symmetry	No. 166
total magnetic moment	0.0	Bohr magnetons per cell
mass density	8.55	g/cm³
volume	31.6	Å³ per atom

Unit cell a=10.441 b=10.441 c=10.441 alpha=20.85 beta=20.85 gamma=20.85
Fractional positions:
1 Tl 0.107 0.107 0.107
2 Tl 0.893 0.893 0.893
3 Bi 0.000 0.000 0.000
4 S 0.500 0.500 0.500

b) Here is crystalline Tl2BiS at its relaxed geometry from Alexandria via LeMat-Bulk. Energies are from PBE.

symmetry	No. 122
total magnetic moment	0.0	Bohr magnetons per cell
mass density	7.05	g/cm³
volume	38.2	Å³ per atom

Unit cell a=8.311 b=8.311 c=8.311 alpha=132.52 beta=132.52 gamma=69.40
Fractional positions:
1 Tl 0.095 0.625 0.970
2 Tl 0.375 0.345 0.470
3 Tl 0.655 0.125 0.030
4 Tl 0.875 0.905 0.530
5 Bi 0.250 0.750 0.500
6 Bi 0.500 0.500 0.000
7 S 0.000 0.000 0.000
8 S 0.750 0.250 0.500

Quick one: most stable of them? a)

a) Here is crystalline TlBi2S4 at its relaxed geometry from Alexandria via LeMat-Bulk. Energies are from PBE.

symmetry	No. 63
total magnetic moment	0.0	Bohr magnetons per cell
mass density	6.71	g/cm³
volume	26.5	Å³ per atom

Unit cell a=6.980 b=6.980 c=13.913 alpha=90.00 beta=90.00 gamma=146.78
Fractional positions:
1 Tl 0.106 0.894 0.750
2 Tl 0.894 0.106 0.250
3 Bi 0.365 0.635 0.567
4 Bi 0.365 0.635 0.933
5 Bi 0.635 0.365 0.067
6 Bi 0.635 0.365 0.433
7 S 0.000 0.000 0.000
8 S 0.000 0.000 0.500
9 S 0.272 0.728 0.117
10 S 0.272 0.728 0.383
11 S 0.457 0.543 0.750
12 S 0.543 0.457 0.250
13 S 0.728 0.272 0.617
14 S 0.728 0.272 0.883

b) Here is crystalline TlBi2S4 at its relaxed geometry from Alexandria via LeMat-Bulk. Energies are from PBE.

symmetry	No. 141
total magnetic moment	0.0	Bohr magnetons per cell
mass density	5.99	g/cm³
volume	29.7	Å³ per atom

Unit cell a=8.381 b=8.381 c=8.381 alpha=120.08 beta=120.08 gamma=89.87
Fractional positions:
1 Tl 0.375 0.625 0.750
2 Tl 0.625 0.375 0.250
3 Bi 0.000 0.000 0.000
4 Bi 0.000 0.000 0.500
5 Bi 0.000 0.500 0.000
6 Bi 0.500 0.000 0.500
7 S 0.220 0.240 0.980
8 S 0.240 0.220 0.480
9 S 0.240 0.759 0.020
10 S 0.241 0.760 0.480
11 S 0.759 0.240 0.520
12 S 0.760 0.241 0.980
13 S 0.760 0.780 0.520
14 S 0.780 0.760 0.020

Quick one: most stable of them? b)

a) Here is crystalline TlBi3S at its relaxed geometry from Alexandria via LeMat-Bulk. Energies are from PBE.

symmetry	No. 221
total magnetic moment	0.0	Bohr magnetons per cell
mass density	8.61	g/cm³
volume	33.3	Å³ per atom

Unit cell a=5.501 b=5.501 c=5.501 alpha=90.00 beta=90.00 gamma=90.00
Fractional positions:
1 Tl 0.000 0.000 0.000
2 Bi 0.000 0.500 0.500
3 Bi 0.500 0.000 0.500
4 Bi 0.500 0.500 0.000
5 S 0.500 0.500 0.500

b) Here is crystalline TlBi3S at its relaxed geometry from Alexandria via LeMat-Bulk. Energies are from PBE.

symmetry	No. 221
total magnetic moment	1.7	Bohr magnetons per cell
mass density	7.27	g/cm³
volume	39.4	Å³ per atom

Unit cell a=5.820 b=5.820 c=5.820 alpha=90.00 beta=90.00 gamma=90.00
Fractional positions:
1 Tl 0.000 0.000 0.000
2 Bi 0.000 0.000 0.500
3 Bi 0.000 0.500 0.000
4 Bi 0.500 0.000 0.000
5 S 0.500 0.500 0.500

Quick one: most stable of them? a)

a) Here is crystalline Tm2BiS at its relaxed geometry from Alexandria via LeMat-Bulk. Energies are from PBE.

symmetry	No. 166
total magnetic moment	0.0	Bohr magnetons per cell
mass density	9.61	g/cm³
volume	25.0	Å³ per atom

Unit cell a=7.257 b=7.257 c=7.257 alpha=32.85 beta=32.85 gamma=32.85
Fractional positions:
1 Tm 0.238 0.238 0.238
2 Tm 0.762 0.762 0.762
3 Bi 0.000 0.000 0.000
4 S 0.500 0.500 0.500

b) Here is crystalline Tm2BiS at its relaxed geometry from Alexandria via LeMat-Bulk. Energies are from PBE.

symmetry	No. 160
total magnetic moment	0.0	Bohr magnetons per cell
mass density	9.66	g/cm³
volume	24.9	Å³ per atom

Unit cell a=7.623 b=7.623 c=7.623 alpha=30.23 beta=30.23 gamma=30.23
Fractional positions:
1 Tm 0.000 0.000 0.000
2 Tm 0.196 0.196 0.196
3 Bi 0.765 0.765 0.765
4 S 0.596 0.596 0.596

c) Here is crystalline Tm2BiS at its relaxed geometry from Alexandria via LeMat-Bulk. Energies are from PBE.

symmetry	No. 53
total magnetic moment	0.0	Bohr magnetons per cell
mass density	9.35	g/cm³
volume	25.7	Å³ per atom

Unit cell a=5.934 b=5.959 c=11.634 alpha=90.00 beta=90.00 gamma=90.00
Fractional positions:
1 Tm 0.000 0.234 0.140
2 Tm 0.000 0.238 0.609
3 Tm 0.000 0.762 0.391
4 Tm 0.000 0.766 0.860
5 Tm 0.500 0.234 0.360
6 Tm 0.500 0.238 0.891
7 Tm 0.500 0.762 0.109
8 Tm 0.500 0.766 0.640
9 Bi 0.000 0.266 0.875
10 Bi 0.000 0.734 0.125
11 Bi 0.500 0.266 0.625
12 Bi 0.500 0.734 0.375
13 S 0.000 0.242 0.375
14 S 0.000 0.758 0.625
15 S 0.500 0.242 0.125
16 S 0.500 0.758 0.875

Quick one: most stable of them? a)

a) Here is crystalline TmBiS3 at its relaxed geometry from Alexandria via LeMat-Bulk. Energies are from PBE.

symmetry	No. 188
total magnetic moment	0.0	Bohr magnetons per cell
mass density	5.58	g/cm³
volume	28.2	Å³ per atom

Unit cell a=6.842 b=6.842 c=6.961 alpha=90.00 beta=90.00 gamma=120.00
Fractional positions:
1 Tm 0.000 0.000 0.000
2 Tm 0.000 0.000 0.500
3 Bi 0.667 0.333 0.000
4 Bi 0.667 0.333 0.500
5 S 0.319 0.026 0.250
6 S 0.319 0.293 0.750
7 S 0.707 0.026 0.750
8 S 0.707 0.681 0.250
9 S 0.974 0.293 0.250
10 S 0.974 0.681 0.750

b) Here is crystalline TmBiS3 at its relaxed geometry from Alexandria via LeMat-Bulk. Energies are from PBE.

symmetry	No. 11
total magnetic moment	0.0	Bohr magnetons per cell
mass density	5.60	g/cm³
volume	28.1	Å³ per atom

Unit cell a=7.050 b=3.977 c=10.022 alpha=90.00 beta=90.08 gamma=90.00
Fractional positions:
1 Tm 0.074 0.250 0.174
2 Tm 0.926 0.750 0.826
3 Bi 0.418 0.250 0.814
4 Bi 0.582 0.750 0.186
5 S 0.087 0.250 0.690
6 S 0.221 0.750 0.008
7 S 0.405 0.250 0.315
8 S 0.595 0.750 0.685
9 S 0.779 0.250 0.992
10 S 0.913 0.750 0.310

Quick one: most stable of them? b)

a) Here is crystalline U2BiS6 at its relaxed geometry from Alexandria via LeMat-Bulk. Energies are from PBE.

symmetry	No. 12
total magnetic moment	3.0	Bohr magnetons per cell
mass density	5.20	g/cm³
volume	31.1	Å³ per atom

Unit cell a=8.964 b=8.964 c=8.168 alpha=102.95 beta=102.95 gamma=26.01
Fractional positions:
1 U 0.167 0.167 0.326
2 U 0.833 0.833 0.674
3 Bi 0.500 0.500 0.000
4 S 0.015 0.015 0.247
5 S 0.324 0.324 0.451
6 S 0.334 0.334 0.888
7 S 0.666 0.666 0.112
8 S 0.676 0.676 0.549
9 S 0.985 0.985 0.753

b) Here is crystalline U2BiS6 at its relaxed geometry from Alexandria via LeMat-Bulk. Energies are from PBE.

symmetry	No. 136
total magnetic moment	6.0	Bohr magnetons per cell
mass density	5.90	g/cm³
volume	27.4	Å³ per atom

Unit cell a=6.344 b=6.344 c=12.270 alpha=90.00 beta=90.00 gamma=90.00
Fractional positions:
1 U 0.000 0.000 0.168
2 U 0.000 0.000 0.832
3 U 0.500 0.500 0.332
4 U 0.500 0.500 0.668
5 Bi 0.000 0.000 0.500
6 Bi 0.500 0.500 0.000
7 S 0.185 0.185 0.000
8 S 0.200 0.200 0.324
9 S 0.200 0.200 0.676
10 S 0.300 0.700 0.176
11 S 0.300 0.700 0.824
12 S 0.315 0.685 0.500
13 S 0.685 0.315 0.500
14 S 0.700 0.300 0.176
15 S 0.700 0.300 0.824
16 S 0.800 0.800 0.324
17 S 0.800 0.800 0.676
18 S 0.815 0.815 0.000

Quick one: most stable of them? a)

a) Here is crystalline UBi2S6 at its relaxed geometry from Alexandria via LeMat-Bulk. Energies are from PBE.

symmetry	No. 58
total magnetic moment	0.0	Bohr magnetons per cell
mass density	5.54	g/cm³
volume	28.2	Å³ per atom

Unit cell a=6.282 b=6.919 c=11.699 alpha=90.00 beta=90.00 gamma=90.00
Fractional positions:
1 U 0.000 0.000 0.000
2 U 0.500 0.500 0.500
3 Bi 0.000 0.500 0.172
4 Bi 0.000 0.500 0.828
5 Bi 0.500 0.000 0.328
6 Bi 0.500 0.000 0.672
7 S 0.229 0.311 0.000
8 S 0.233 0.842 0.153
9 S 0.233 0.842 0.847
10 S 0.267 0.342 0.347
11 S 0.267 0.342 0.653
12 S 0.271 0.811 0.500
13 S 0.729 0.189 0.500
14 S 0.733 0.658 0.347
15 S 0.733 0.658 0.653
16 S 0.767 0.158 0.153
17 S 0.767 0.158 0.847
18 S 0.771 0.689 0.000

b) Here is crystalline UBi2S6 at its relaxed geometry from Alexandria via LeMat-Bulk. Energies are from PBE.

symmetry	No. 38
total magnetic moment	0.1	Bohr magnetons per cell
mass density	7.04	g/cm³
volume	22.2	Å³ per atom

Unit cell a=3.938 b=7.773 c=7.773 alpha=122.70 beta=90.00 gamma=90.00
Fractional positions:
1 U 0.000 0.000 0.000
2 Bi 0.500 0.330 0.640
3 Bi 0.500 0.640 0.330
4 S 0.000 0.050 0.424
5 S 0.000 0.424 0.050
6 S 0.000 0.634 0.634
7 S 0.500 0.037 0.796
8 S 0.500 0.269 0.269
9 S 0.500 0.796 0.037

Quick one: most stable of them? a)

a) Here is crystalline VBiS3 at its relaxed geometry from Alexandria via LeMat-Bulk. Energies are from PBE.

symmetry	No. 221
total magnetic moment	2.7	Bohr magnetons per cell
mass density	4.30	g/cm³
volume	27.5	Å³ per atom

Unit cell a=5.161 b=5.161 c=5.161 alpha=90.00 beta=90.00 gamma=90.00
Fractional positions:
1 V 0.000 0.000 0.000
2 Bi 0.500 0.500 0.500
3 S 0.000 0.500 0.500
4 S 0.500 0.000 0.500
5 S 0.500 0.500 0.000

b) Here is crystalline VBiS3 at its relaxed geometry from Alexandria via LeMat-Bulk. Energies are from PBE.

symmetry	No. 12
total magnetic moment	2.6	Bohr magnetons per cell
mass density	5.65	g/cm³
volume	20.9	Å³ per atom

Unit cell a=6.147 b=6.147 c=8.214 alpha=102.23 beta=102.23 gamma=43.85
Fractional positions:
1 V 0.155 0.155 0.438
2 V 0.845 0.845 0.562
3 Bi 0.392 0.392 0.120
4 Bi 0.608 0.608 0.880
5 S 0.071 0.071 0.686
6 S 0.168 0.168 0.133
7 S 0.358 0.358 0.574
8 S 0.642 0.642 0.426
9 S 0.832 0.832 0.867
10 S 0.929 0.929 0.314

Quick one: most stable of them? b)

a) Here is crystalline BiWS3 at its relaxed geometry from Alexandria via LeMat-Bulk. Energies are from PBE.

symmetry	No. 221
total magnetic moment	3.4	Bohr magnetons per cell
mass density	6.00	g/cm³
volume	27.1	Å³ per atom

Unit cell a=5.134 b=5.134 c=5.134 alpha=90.00 beta=90.00 gamma=90.00
Fractional positions:
1 Bi 0.000 0.000 0.000
2 W 0.500 0.500 0.500
3 S 0.000 0.000 0.500
4 S 0.000 0.500 0.000
5 S 0.500 0.000 0.000

b) Here is crystalline BiWS3 at its relaxed geometry from Alexandria via LeMat-Bulk. Energies are from PBE.

symmetry	No. 221
total magnetic moment	0.0	Bohr magnetons per cell
mass density	7.70	g/cm³
volume	21.1	Å³ per atom

Unit cell a=4.726 b=4.726 c=4.726 alpha=90.00 beta=90.00 gamma=90.00
Fractional positions:
1 Bi 0.000 0.000 0.000
2 W 0.500 0.500 0.500
3 S 0.000 0.500 0.500
4 S 0.500 0.000 0.500
5 S 0.500 0.500 0.000

Quick one: most stable of them? b)

a) Here is crystalline YBi3S at its relaxed geometry from Alexandria via LeMat-Bulk. Energies are from PBE.

symmetry	No. 221
total magnetic moment	0.0	Bohr magnetons per cell
mass density	7.94	g/cm³
volume	31.3	Å³ per atom

Unit cell a=5.389 b=5.389 c=5.389 alpha=90.00 beta=90.00 gamma=90.00
Fractional positions:
1 Y 0.000 0.000 0.000
2 Bi 0.000 0.500 0.500
3 Bi 0.500 0.000 0.500
4 Bi 0.500 0.500 0.000
5 S 0.500 0.500 0.500

b) Here is crystalline YBi3S at its relaxed geometry from Alexandria via LeMat-Bulk. Energies are from PBE.

symmetry	No. 221
total magnetic moment	1.4	Bohr magnetons per cell
mass density	6.18	g/cm³
volume	40.2	Å³ per atom

Unit cell a=5.856 b=5.856 c=5.856 alpha=90.00 beta=90.00 gamma=90.00
Fractional positions:
1 Y 0.000 0.000 0.000
2 Bi 0.000 0.000 0.500
3 Bi 0.000 0.500 0.000
4 Bi 0.500 0.000 0.000
5 S 0.500 0.500 0.500

Quick one: most stable of them? a)